Entry 1:
An optimized crystal structure of Cs2In12Ga7, computed with PBE-GGA.

Energy relative to the elements   -0.032 eV per atom
Crystal system   trigonal
Uncorrected energy   -2.687 eV/atom

```
data_Cs2In12Ga7
_chemical_formula_sum 'Cs2 In12 Ga7'
_cell_length_a 11.5909
_cell_length_b 11.5909
_cell_length_c 4.9866
_cell_angle_alpha 90.00
_cell_angle_beta 90.00
_cell_angle_gamma 120.00
_symmetry_space_group_name_H-M 'P -3'
_symmetry_Int_Tables_number 147
loop_
_symmetry_equiv_pos_as_xyz
'x,y,z'
'-x,-y,-z'
'-y,x-y,z'
'y,-x+y,-z'
'-x+y,-x,z'
'x-y,x,-z'
loop_
_atom_site_label
_atom_site_fract_x
_atom_site_fract_y
_atom_site_fract_z
Cs1 0.3333 0.6667 0.2466
In1 0.0669 0.6431 0.7458
In2 0.1163 0.8660 0.2294
Ga1 0.0000 0.0000 0.5000
Ga2 0.0968 0.4107 0.7470
```



Entry 2:
An optimized crystal structure of CsInGa2Ir, computed with PBE-GGA.

Energy relative to the elements   -0.192 eV per atom
Crystal system   tetragonal
Uncorrected energy   -3.893 eV/atom

```
data_CsInGa2Ir
_chemical_formula_sum 'Cs1 In1 Ga2 Ir1'
_cell_length_a 4.968
_cell_length_b 4.968
_cell_length_c 5.308
_cell_angle_alpha 90.00
_cell_angle_beta 90.00
_cell_angle_gamma 90.00
_symmetry_space_group_name_H-M 'P 4/m m m'
_symmetry_Int_Tables_number 123
_symmetry_space_group_name_Hall '-P 4 2'
loop_
_atom_site_label
_atom_site_fract_x
_atom_site_fract_y
_atom_site_fract_z
Cs1 0.000 0.000 0.000
In1 0.500 0.500 0.000
Ga1 0.000 0.500 0.500
Ir1 0.500 0.500 0.500
```



Entry 3:
An optimized crystal structure of CsK2InGa, computed with PBE-GGA.

ΔE to the lowest computed polymorph   0.039 eV per atom
Energy relative to the elements   0.091 eV per atom
Crystal system   tetragonal
Uncorrected energy   -1.672 eV/atom

```
data_CsK2InGa
_chemical_formula_sum 'Cs1 K2 In1 Ga1'
_cell_length_a 7.026
_cell_length_b 7.026
_cell_length_c 5.274
_cell_angle_alpha 90.00
_cell_angle_beta 90.00
_cell_angle_gamma 90.00
_symmetry_space_group_name_H-M 'P 4/m m m'
_symmetry_Int_Tables_number 123
_symmetry_space_group_name_Hall '-P 4 2'
loop_
_atom_site_label
_atom_site_fract_x
_atom_site_fract_y
_atom_site_fract_z
Cs1 0.000 0.000 0.000
K1 0.000 0.500 0.500
In1 0.500 0.500 0.500
Ga1 0.500 0.500 0.000
```



Entry 4:
An optimized crystal structure of CsK2InGa, computed with PBE-GGA.

ΔE to the lowest computed polymorph   0.000 eV per atom
Energy relative to the elements   0.052 eV per atom
Crystal system   tetragonal
Uncorrected energy   -1.711 eV/atom

```
data_CsK2InGa
_chemical_formula_sum 'Cs1 K2 In1 Ga1'
_cell_length_a 6.817
_cell_length_b 6.817
_cell_length_c 5.312
_cell_angle_alpha 90.00
_cell_angle_beta 90.00
_cell_angle_gamma 90.00
_symmetry_space_group_name_H-M 'P 4/m m m'
_symmetry_Int_Tables_number 123
_symmetry_space_group_name_Hall '-P 4 2'
loop_
_atom_site_label
_atom_site_fract_x
_atom_site_fract_y
_atom_site_fract_z
Cs1 0.000 0.000 0.000
K1 0.000 0.500 0.500
In1 0.500 0.500 0.000
Ga1 0.500 0.500 0.500
```



Entry 5:
An optimized crystal structure of CsMnInGa2, computed with PBE-GGA.

Energy relative to the elements   0.085 eV per atom
Crystal system   tetragonal
Uncorrected energy   -3.678 eV/atom

```
data_CsMnInGa2
_chemical_formula_sum 'Cs1 Mn1 In1 Ga2'
_cell_length_a 4.905
_cell_length_b 4.905
_cell_length_c 5.158
_cell_angle_alpha 90.00
_cell_angle_beta 90.00
_cell_angle_gamma 90.00
_symmetry_space_group_name_H-M 'P 4/m m m'
_symmetry_Int_Tables_number 123
_symmetry_space_group_name_Hall '-P 4 2'
loop_
_atom_site_label
_atom_site_fract_x
_atom_site_fract_y
_atom_site_fract_z
Cs1 0.000 0.000 0.000
Mn1 0.500 0.500 0.500
In1 0.500 0.500 0.000
Ga1 0.000 0.500 0.500
```



Entry 6:
An optimized crystal structure of CsNa2InGa, computed with PBE-GGA.

ΔE to the lowest computed polymorph   0.000 eV per atom
Energy relative to the elements   0.009 eV per atom
Crystal system   tetragonal
Uncorrected energy   -1.842 eV/atom

```
data_CsNa2InGa
_chemical_formula_sum 'Cs1 Na2 In1 Ga1'
_cell_length_a 6.021
_cell_length_b 6.021
_cell_length_c 5.313
_cell_angle_alpha 90.00
_cell_angle_beta 90.00
_cell_angle_gamma 90.00
_symmetry_space_group_name_H-M 'P 4/m m m'
_symmetry_Int_Tables_number 123
_symmetry_space_group_name_Hall '-P 4 2'
loop_
_atom_site_label
_atom_site_fract_x
_atom_site_fract_y
_atom_site_fract_z
Cs1 0.000 0.000 0.000
Na1 0.000 0.500 0.500
In1 0.500 0.500 0.000
Ga1 0.500 0.500 0.500
```



Entry 7:
An optimized crystal structure of CsNaIn2Ga, computed with PBE-GGA.

Energy relative to the elements   0.057 eV per atom
Crystal system   tetragonal
Uncorrected energy   -2.079 eV/atom

```
data_CsNaIn2Ga
_chemical_formula_sum 'Cs1 Na1 In2 Ga1'
_cell_length_a 5.712
_cell_length_b 5.712
_cell_length_c 5.846
_cell_angle_alpha 90.00
_cell_angle_beta 90.00
_cell_angle_gamma 90.00
_symmetry_space_group_name_H-M 'P 4/m m m'
_symmetry_Int_Tables_number 123
_symmetry_space_group_name_Hall '-P 4 2'
loop_
_atom_site_label
_atom_site_fract_x
_atom_site_fract_y
_atom_site_fract_z
Cs1 0.000 0.000 0.000
Na1 0.500 0.500 0.000
In1 0.000 0.500 0.500
Ga1 0.500 0.500 0.500
```



Entry 8:
An optimized crystal structure of CsNa2InGa, computed with PBE-GGA.

ΔE to the lowest computed polymorph   0.038 eV per atom
Energy relative to the elements   0.047 eV per atom
Crystal system   tetragonal
Uncorrected energy   -1.804 eV/atom

```
data_CsNa2InGa
_chemical_formula_sum 'Cs1 Na2 In1 Ga1'
_cell_length_a 6.156
_cell_length_b 6.156
_cell_length_c 5.328
_cell_angle_alpha 90.00
_cell_angle_beta 90.00
_cell_angle_gamma 90.00
_symmetry_space_group_name_H-M 'P 4/m m m'
_symmetry_Int_Tables_number 123
_symmetry_space_group_name_Hall '-P 4 2'
loop_
_atom_site_label
_atom_site_fract_x
_atom_site_fract_y
_atom_site_fract_z
Cs1 0.000 0.000 0.000
Na1 0.000 0.500 0.500
In1 0.500 0.500 0.500
Ga1 0.500 0.500 0.000
```



Entry 9:
An optimized crystal structure of CsIn2GaNi, computed with PBE-GGA.

Energy relative to the elements   0.020 eV per atom
Crystal system   tetragonal
Uncorrected energy   -3.008 eV/atom

```
data_CsIn2GaNi
_chemical_formula_sum 'Cs1 In2 Ga1 Ni1'
_cell_length_a 5.218
_cell_length_b 5.218
_cell_length_c 4.927
_cell_angle_alpha 90.00
_cell_angle_beta 90.00
_cell_angle_gamma 90.00
_symmetry_space_group_name_H-M 'P 4/m m m'
_symmetry_Int_Tables_number 123
_symmetry_space_group_name_Hall '-P 4 2'
loop_
_atom_site_label
_atom_site_fract_x
_atom_site_fract_y
_atom_site_fract_z
Cs1 0.000 0.000 0.000
In1 0.000 0.500 0.500
Ga1 0.500 0.500 0.000
Ni1 0.500 0.500 0.500
```



Entry 10:
An optimized crystal structure of CsInGa2Os, computed with PBE-GGA.

Energy relative to the elements   -0.105 eV per atom
Crystal system   tetragonal
Uncorrected energy   -4.280 eV/atom

```
data_CsInGa2Os
_chemical_formula_sum 'Cs1 In1 Ga2 Os1'
_cell_length_a 4.994
_cell_length_b 4.994
_cell_length_c 5.283
_cell_angle_alpha 90.00
_cell_angle_beta 90.00
_cell_angle_gamma 90.00
_symmetry_space_group_name_H-M 'P 4/m m m'
_symmetry_Int_Tables_number 123
_symmetry_space_group_name_Hall '-P 4 2'
loop_
_atom_site_label
_atom_site_fract_x
_atom_site_fract_y
_atom_site_fract_z
Cs1 0.000 0.000 0.000
In1 0.500 0.500 0.000
Ga1 0.000 0.500 0.500
Os1 0.500 0.500 0.500
```



Entry 11:
An optimized crystal structure of CsIn2GaOs, computed with PBE-GGA.

Energy relative to the elements   -0.048 eV per atom
Crystal system   tetragonal
Uncorrected energy   -4.165 eV/atom

```
data_CsIn2GaOs
_chemical_formula_sum 'Cs1 In2 Ga1 Os1'
_cell_length_a 5.308
_cell_length_b 5.308
_cell_length_c 5.005
_cell_angle_alpha 90.00
_cell_angle_beta 90.00
_cell_angle_gamma 90.00
_symmetry_space_group_name_H-M 'P 4/m m m'
_symmetry_Int_Tables_number 123
_symmetry_space_group_name_Hall '-P 4 2'
loop_
_atom_site_label
_atom_site_fract_x
_atom_site_fract_y
_atom_site_fract_z
Cs1 0.000 0.000 0.000
In1 0.000 0.500 0.500
Ga1 0.500 0.500 0.000
Os1 0.500 0.500 0.500
```



Entry 12:
An optimized crystal structure of CsIn2GaPb, computed with PBE-GGA.

Energy relative to the elements   0.503 eV per atom
Crystal system   tetragonal
Uncorrected energy   -2.110 eV/atom

```
data_CsIn2GaPb
_chemical_formula_sum 'Cs1 In2 Ga1 Pb1'
_cell_length_a 5.910
_cell_length_b 5.910
_cell_length_c 7.180
_cell_angle_alpha 90.00
_cell_angle_beta 90.00
_cell_angle_gamma 90.00
_symmetry_space_group_name_H-M 'P 4/m m m'
_symmetry_Int_Tables_number 123
_symmetry_space_group_name_Hall '-P 4 2'
loop_
_atom_site_label
_atom_site_fract_x
_atom_site_fract_y
_atom_site_fract_z
Cs1 0.000 0.000 0.000
In1 0.000 0.500 0.500
Ga1 0.500 0.500 0.000
Pb1 0.000 0.000 0.500
```



Entry 13:
An optimized crystal structure of CsInGa2Pb, computed with PBE-GGA.

Energy relative to the elements   -0.074 eV per atom
Crystal system   orthorhombic
Uncorrected energy   -2.745 eV/atom

```
data_CsInGa2Pb
_chemical_formula_sum 'Cs2 In2 Ga4 Pb2'
_cell_length_a 5.051
_cell_length_b 5.146
_cell_length_c 11.929
_cell_angle_alpha 90.00
_cell_angle_beta 90.00
_cell_angle_gamma 90.00
_symmetry_space_group_name_H-M 'I m m 2'
_symmetry_Int_Tables_number 44
loop_
_symmetry_equiv_pos_as_xyz
'x,y,z'
'-x,-y,z'
'-x,y,z'
'x,-y,z'
'x+1/2,y+1/2,z+1/2'
'-x+1/2,-y+1/2,z+1/2'
'-x+1/2,y+1/2,z+1/2'
'x+1/2,-y+1/2,z+1/2'
loop_
_atom_site_label
_atom_site_fract_x
_atom_site_fract_y
_atom_site_fract_z
Cs1 0.000 0.000 0.000
In1 0.000 0.500 0.761
Ga1 0.000 0.000 0.369
Ga2 0.000 0.500 0.265
Pb1 0.000 0.000 0.619
```